Record 1
A plane-wave DFT calculation with GGA-PBE was carried out for a geometry-optimized LaAgSnSe3 structure.

Properties
As for the magnetization: 0.018 Bohr magnetons per cell. The value obtained for the uncorrected energy is -0.172 Ha/atom. For the excess energy over the best structure of this formula in the dataset, the calculation gives 0.0 kJ/mol of atoms.

```
LaAgSnSe3
1.0
4.4141 0.0000 0.0000
0.0000 11.8237 0.0000
0.0000 0.0000 12.1610
Se Sn La Ag
12 4 4 4
Direct
0.2500 0.7211 0.3291 Se
0.7500 0.7789 0.8291 Se
0.7500 0.0953 0.4399 Se
0.7500 0.4628 0.3691 Se
0.7500 0.9628 0.1309 Se
0.7500 0.2789 0.6709 Se
0.2500 0.2211 0.1709 Se
0.2500 0.4047 0.9399 Se
0.2500 0.9047 0.5601 Se
0.2500 0.5372 0.6309 Se
0.2500 0.0372 0.8691 Se
0.7500 0.5953 0.0601 Se
0.7500 0.1695 0.0056 Sn
0.2500 0.8305 0.9944 Sn
0.2500 0.3305 0.5056 Sn
0.7500 0.6695 0.4944 Sn
0.2500 0.4886 0.1845 La
0.7500 0.0114 0.6845 La
0.2500 0.9886 0.3155 La
0.7500 0.5114 0.8155 La
0.2500 0.2471 0.7909 Ag
0.2500 0.7471 0.7091 Ag
0.7500 0.2529 0.2909 Ag
0.7500 0.7529 0.2091 Ag
```

Record 2
A plane-wave DFT calculation with GGA-PBE was carried out for a geometry-optimized DyNbAg2O4 structure.

Properties
As for the magnetization: 1.915 Bohr magnetons per cell. The value obtained for the uncorrected energy is -0.248 Ha/atom.

```
DyNbAg2O4
1.0
3.4042 0.0000 0.0000
-1.7021 2.9481 0.0000
0.0000 0.0000 12.5055
O Dy Nb Ag
4 1 1 2
Direct
0.3333 0.6667 0.0740 O
0.6667 0.3333 0.9260 O
0.6667 0.3333 0.5879 O
0.3333 0.6667 0.4121 O
0.0000 0.0000 0.5000 Dy
0.0000 0.0000 0.0000 Nb
0.3333 0.6667 0.2447 Ag
0.6667 0.3333 0.7553 Ag
```

Record 3
A plane-wave DFT calculation with GGA-PBE was carried out for a geometry-optimized DyScAl4Ni2 structure.

Properties
As for the magnetization: 0.000 Bohr magnetons per cell. The value obtained for the uncorrected energy is -0.194 Ha/atom.

```
DyScAl4Ni2
1.0
-0.5029 6.5636 1.6698
-0.3342 -1.3283 5.1207
3.4799 -0.7333 3.9307
Al Ni Dy Sc
4 2 1 1
Direct
0.1928 0.8477 0.8477 Al
0.8072 0.8477 0.8477 Al
0.2971 0.1498 0.1498 Al
0.7029 0.1498 0.1498 Al
0.0000 0.2892 0.2892 Ni
0.5000 0.7159 0.7159 Ni
0.5000 0.4367 0.4367 Dy
0.0000 0.5633 0.5633 Sc
```

Record 4
A plane-wave DFT calculation with GGA-PBE was carried out for a geometry-optimized RbHoZnS3 structure.

Properties
As for the magnetization: 0.002 Bohr magnetons per cell. The value obtained for the uncorrected energy is -0.166 Ha/atom.

```
RbHoZnS3
1.0
8.6797 -2.0328 0.0000
8.6797 2.0328 0.0000
-1.7638 0.0000 8.4158
S Rb Zn Ho
6 2 2 2
Direct
0.6576 0.6576 0.2753 S
0.0000 0.0000 0.0000 S
0.6735 0.6735 0.8662 S
0.3424 0.3424 0.7247 S
0.5000 0.5000 0.5000 S
0.3265 0.3265 0.1338 S
0.8524 0.8524 0.4306 Rb
0.1476 0.1476 0.5694 Rb
0.4783 0.4783 0.7625 Zn
0.5217 0.5217 0.2375 Zn
0.1668 0.1668 0.0690 Ho
0.8332 0.8332 0.9310 Ho
```